(1)
## TiV7Ge4 (PBE)

Data for crystalline TiV7Ge4 at its relaxed geometry.

* crystal system: monoclinic
* DOS(E_F): 7.43 states/eV per cell
* energy of formation from the pure elements: 0.016 eV/atom
* E_tot: -90.00 eV for the cell shown

Lattice parameters (Å, degrees): 5.2970 5.2970 9.5233 116.47 116.47 50.14
Sites, in units of the cell vectors:
Ti 0.0000 0.0000 0.0000
V 0.0372 0.0372 0.3761
V 0.2154 0.2154 0.9167
V 0.3546 0.3546 0.4664
V 0.5000 0.5000 0.0000
V 0.6454 0.6454 0.5336
V 0.7846 0.7846 0.0833
V 0.9628 0.9628 0.6239
Ge 0.2781 0.2781 0.6853
Ge 0.4048 0.4048 0.2237
Ge 0.5952 0.5952 0.7763
Ge 0.7219 0.7219 0.3147

---

(2)
## Ti2VGe (PBE)

Data for crystalline Ti2VGe at its relaxed geometry.

* crystal system: tetragonal
* DOS(E_F): 3.81 states/eV per cell
* energy of formation from the pure elements: -0.356 eV/atom
* E_tot: -30.95 eV for the cell shown

Lattice parameters (Å, degrees): 3.2702 3.2702 5.7325 90.00 90.00 90.00
Sites, in units of the cell vectors:
Ti 0.0000 0.0000 0.2462
Ti 0.0000 0.0000 0.7538
V 0.5000 0.5000 0.0000
Ge 0.5000 0.5000 0.5000

---

(3)
## Ti2VGe2 (PBE)

Data for crystalline Ti2VGe2 at its relaxed geometry.

* crystal system: orthorhombic
* DOS(E_F): 8.70 states/eV per cell
* energy of formation from the pure elements: -0.442 eV/atom
* E_tot: -72.71 eV for the cell shown

Lattice parameters (Å, degrees): 7.3925 7.3925 5.2530 90.00 90.00 146.88
Sites, in units of the cell vectors:
Ti 0.0327 0.9673 0.5000
Ti 0.1699 0.8301 0.9615
Ti 0.8301 0.1699 0.4615
Ti 0.9673 0.0327 0.0000
V 0.3707 0.6293 0.7684
V 0.6293 0.3707 0.2684
Ge 0.2151 0.7849 0.4563
Ge 0.4404 0.5596 0.2952
Ge 0.5596 0.4404 0.7952
Ge 0.7849 0.2151 0.9563

---

(4)
## Ti8VGe2 (PBE)

Data for crystalline Ti8VGe2 at its relaxed geometry.

* crystal system: monoclinic
* DOS(E_F): 12.38 states/eV per cell
* energy of formation from the pure elements: -0.241 eV/atom
* E_tot: -84.16 eV for the cell shown

Lattice parameters (Å, degrees): 7.5525 7.5525 6.8908 114.67 114.67 30.89
Sites, in units of the cell vectors:
Ti 0.0366 0.0366 0.2906
Ti 0.1689 0.1689 0.7539
Ti 0.3258 0.3258 0.5842
Ti 0.4160 0.4160 0.0529
Ti 0.5840 0.5840 0.9471
Ti 0.6742 0.6742 0.4158
Ti 0.8311 0.8311 0.2461
Ti 0.9634 0.9634 0.7094
V 0.5000 0.5000 0.5000
Ge 0.1963 0.1963 0.1670
Ge 0.8037 0.8037 0.8330

---

(5)
## Ti2VGe (PBE)

Data for crystalline Ti2VGe at its relaxed geometry.

* crystal system: tetragonal
* DOS(E_F): 6.17 states/eV per cell
* energy of formation from the pure elements: -0.356 eV/atom
* E_tot: -30.95 eV for the cell shown

Lattice parameters (Å, degrees): 4.1870 4.1870 3.4571 90.00 90.00 90.00
Sites, in units of the cell vectors:
Ti 0.0000 0.5000 0.0000
Ti 0.5000 0.0000 0.0000
V 0.0000 0.0000 0.5000
Ge 0.5000 0.5000 0.5000

---

(6)
## Ti4V2Ge5 (PBE)

Data for crystalline Ti4V2Ge5 at its relaxed geometry.

* crystal system: orthorhombic
* DOS(E_F): 14.03 states/eV per cell
* energy of formation from the pure elements: -0.606 eV/atom
* E_tot: -159.14 eV for the cell shown

Lattice parameters (Å, degrees): 9.5898 9.5898 9.5898 131.42 58.67 149.13
Sites, in units of the cell vectors:
Ti 0.0645 0.7401 0.8046
Ti 0.1430 0.1089 0.2520
Ti 0.3570 0.6089 0.9659
Ti 0.4355 0.2401 0.6756
Ti 0.5645 0.7599 0.3244
Ti 0.6430 0.3911 0.0341
Ti 0.8570 0.8911 0.7480
Ti 0.9355 0.2599 0.1954
V 0.0585 0.7500 0.3085
V 0.4415 0.7500 0.6915
V 0.5585 0.2500 0.3085
V 0.9415 0.2500 0.6915
Ge 0.0697 0.4019 0.4716
Ge 0.2138 0.7972 0.0110
Ge 0.2500 0.2500 0.0000
Ge 0.2862 0.2972 0.5834
Ge 0.4303 0.9019 0.3323
Ge 0.5697 0.0981 0.6677
Ge 0.7138 0.7028 0.4166
Ge 0.7500 0.7500 0.0000
Ge 0.7862 0.2028 0.9890
Ge 0.9303 0.5981 0.5284